The following is a PBE-GGA calculation of LiDyZrAl after structural relaxation, from Alexandria via LeMat-Bulk.

Cell: 4.9452 4.9452 4.9452 Å, 60.00 60.00 60.00°
Closest atoms and distances in Å follow each position.
Element x y z (fractional)
Li: 0.0000 0.0000 0.0000  4 Zr 3.03, 4 Dy 3.03
Dy: 0.2500 0.2500 0.2500  4 Li 3.03, 4 Al 3.03
Zr: 0.7500 0.7500 0.7500  4 Li 3.03, 4 Al 3.03
Al: 0.5000 0.5000 0.5000  4 Zr 3.03, 4 Dy 3.03

E ... -0.1777 hartree per atom
N(E_F) ... 2.87 states/eV per cell
ΔH_f (0 K) ... -134 meV per atom

=====

The following is a PBE-GGA calculation of DyLuAl after structural relaxation, from Alexandria via LeMat-Bulk.

Cell: 7.0381 7.0381 7.0381 Å, 151.96 151.96 40.07°
Closest atoms and distances in Å follow each position.
Element x y z (fractional)
Dy: 0.0000 0.0000 0.0000  4 Al 3.14, 4 Dy 3.41
Lu: 0.2993 0.2993 0.0000  4 Al 3.10, 4 Lu 3.41
Al: 0.6526 0.6526 0.0000  4 Lu 3.10, 4 Dy 3.14, 4 Al 3.41

E ... -0.1671 hartree per atom
N(E_F) ... 2.22 states/eV per cell
ΔH_f (0 K) ... -258 meV per atom
Energy relative to the lowest polymorph listed for this composition ... 0.000 eV per formula unit

=====

The following is a PBE-GGA calculation of DyLuAl4 after structural relaxation, from Alexandria via LeMat-Bulk.

Cell: 5.5230 5.5230 5.5230 Å, 60.00 60.00 60.00°
Closest atoms and distances in Å follow each position.
Element x y z (fractional)
Dy: 0.0000 0.0000 0.0000  12 Al 3.24, 4 Lu 3.38
Lu: 0.2500 0.2500 0.2500  12 Al 3.24, 4 Dy 3.38
Al: 0.1252 0.6249 0.6249  6 Al 2.76
Al: 0.6249 0.1252 0.6249  6 Al 2.76
Al: 0.6249 0.6249 0.1252  6 Al 2.76
Al: 0.6249 0.6249 0.6249  6 Al 2.76

E ... -0.1659 hartree per atom
N(E_F) ... 5.39 states/eV per cell
ΔH_f (0 K) ... -498 meV per atom

=====

The following is a PBE-GGA calculation of DyLu2Al after structural relaxation, from Alexandria via LeMat-Bulk.

Cell: 3.4688 3.4688 8.7983 Å, 90.00 90.00 90.00°
Closest atoms and distances in Å follow each position.
Element x y z (fractional)
Dy: 0.0000 0.0000 0.0000  4 Dy 3.47, 8 Lu 3.52
Lu: 0.5000 0.5000 0.2862  4 Al 3.09
Lu: 0.5000 0.5000 0.7138  4 Al 3.09
Al: 0.0000 0.0000 0.5000  8 Lu 3.09

E ... -0.1671 hartree per atom
N(E_F) ... 3.65 states/eV per cell
ΔH_f (0 K) ... -201 meV per atom
Energy relative to the lowest polymorph listed for this composition ... 0.000 eV per formula unit

=====

The following is a PBE-GGA calculation of DyLu2Al after structural relaxation, from Alexandria via LeMat-Bulk.

Cell: 5.2717 5.2717 5.2717 Å, 60.00 60.00 60.00°
Closest atoms and distances in Å follow each position.
Element x y z (fractional)
Dy: 0.0000 0.0000 0.0000  8 Lu 3.23
Lu: 0.2500 0.2500 0.2500  4 Dy 3.23, 4 Al 3.23
Lu: 0.7500 0.7500 0.7500  4 Dy 3.23, 4 Al 3.23
Al: 0.5000 0.5000 0.5000  8 Lu 3.23

E ... -0.1605 hartree per atom
N(E_F) ... 5.73 states/eV per cell
ΔH_f (0 K) ... -20 meV per atom
Energy relative to the lowest polymorph listed for this composition ... 0.724 eV per formula unit

=====

The following is a PBE-GGA calculation of DyLuAl after structural relaxation, from Alexandria via LeMat-Bulk.

Cell: 5.0196 5.0196 3.5169 Å, 90.00 90.00 120.00°
Closest atoms and distances in Å follow each position.
Element x y z (fractional)
Dy: 0.0000 0.0000 0.0000  3 Al 3.11, 3 Lu 3.29
Lu: 0.6667 0.3333 0.4424  3 Al 3.02, 3 Dy 3.29
Al: 0.3333 0.6667 0.6812  3 Lu 3.02, 3 Dy 3.11

E ... -0.1631 hartree per atom
N(E_F) ... 2.09 states/eV per cell
ΔH_f (0 K) ... -151 meV per atom
Energy relative to the lowest polymorph listed for this composition ... 0.323 eV per formula unit

=====

The following is a PBE-GGA calculation of DyLuAl2 after structural relaxation, from Alexandria via LeMat-Bulk.

Cell: 3.5581 3.5581 7.1167 Å, 90.00 90.00 90.00°
Closest atoms and distances in Å follow each position.
Element x y z (fractional)
Dy: 0.0000 0.0000 0.0000  8 Al 3.12
Lu: 0.0000 0.0000 0.5000  8 Al 3.05
Al: 0.5000 0.5000 0.2582  4 Lu 3.05, 4 Dy 3.12
Al: 0.5000 0.5000 0.7418  4 Lu 3.05, 4 Dy 3.12

E ... -0.1668 hartree per atom
N(E_F) ... 1.96 states/eV per cell
ΔH_f (0 K) ... -386 meV per atom

=====

The following is a PBE-GGA calculation of DyLu2Al after structural relaxation, from Alexandria via LeMat-Bulk.

Cell: 11.5278 11.5278 11.5278 Å, 16.87 16.87 16.87°
Closest atoms and distances in Å follow each position.
Element x y z (fractional)
Dy: 0.0000 0.0000 0.0000  6 Dy 3.38, 2 Lu 3.40
Lu: 0.0996 0.0996 0.0996  3 Al 3.01
Lu: 0.9004 0.9004 0.9004  3 Al 3.01
Al: 0.5000 0.5000 0.5000  6 Lu 3.01

E ... -0.1555 hartree per atom
N(E_F) ... 5.62 states/eV per cell
ΔH_f (0 K) ... 116 meV per atom
Energy relative to the lowest polymorph listed for this composition ... 1.266 eV per formula unit

=====

The following is a PBE-GGA calculation of DyLu2Al after structural relaxation, from Alexandria via LeMat-Bulk.

Cell: 4.6835 4.6835 4.7082 Å, 90.00 90.00 90.00°
Closest atoms and distances in Å follow each position.
Element x y z (fractional)
Dy: 0.0000 0.0000 0.0000  4 Al 3.31, 8 Lu 3.32
Lu: 0.0000 0.5000 0.5000  4 Lu 3.31, 4 Al 3.32, 4 Dy 3.32
Lu: 0.5000 0.0000 0.5000  4 Lu 3.31, 4 Al 3.32, 4 Dy 3.32
Al: 0.5000 0.5000 0.0000  4 Dy 3.31, 8 Lu 3.32

E ... -0.1669 hartree per atom
N(E_F) ... 4.03 states/eV per cell
ΔH_f (0 K) ... -194 meV per atom
Energy relative to the lowest polymorph listed for this composition ... 0.026 eV per formula unit

=====

The following is a PBE-GGA calculation of DyLuMgAl after structural relaxation, from Alexandria via LeMat-Bulk.

Cell: 5.1438 5.1438 5.1438 Å, 60.00 60.00 60.00°
Closest atoms and distances in Å follow each position.
Element x y z (fractional)
Dy: 0.0000 0.0000 0.0000  4 Mg 3.15, 4 Al 3.15
Lu: 0.5000 0.5000 0.5000  4 Mg 3.15, 4 Al 3.15
Mg: 0.7500 0.7500 0.7500  4 Dy 3.15, 4 Lu 3.15
Al: 0.2500 0.2500 0.2500  4 Dy 3.15, 4 Lu 3.15

E ... -0.1414 hartree per atom
N(E_F) ... 2.25 states/eV per cell
ΔH_f (0 K) ... -232 meV per atom

=====

The following is a PBE-GGA calculation of DyLuAlNi after structural relaxation, from Alexandria via LeMat-Bulk.

Cell: 4.9130 4.9130 4.9130 Å, 60.00 60.00 60.00°
Closest atoms and distances in Å follow each position.
Element x y z (fractional)
Dy: 0.0000 0.0000 0.0000  4 Ni 3.01, 4 Al 3.01
Lu: 0.5000 0.5000 0.5000  4 Ni 3.01, 4 Al 3.01
Al: 0.2500 0.2500 0.2500  4 Dy 3.01, 4 Lu 3.01
Ni: 0.7500 0.7500 0.7500  4 Dy 3.01, 4 Lu 3.01

E ... -0.1839 hartree per atom
N(E_F) ... 3.53 states/eV per cell
ΔH_f (0 K) ... -342 meV per atom

=====

The following is a PBE-GGA calculation of DyLuAlPb after structural relaxation, from Alexandria via LeMat-Bulk.

Cell: 5.2514 5.2514 5.2514 Å, 60.00 60.00 60.00°
Closest atoms and distances in Å follow each position.
Element x y z (fractional)
Dy: 0.0000 0.0000 0.0000  4 Pb 3.22, 4 Al 3.22
Lu: 0.5000 0.5000 0.5000  4 Al 3.22, 4 Pb 3.22
Al: 0.2500 0.2500 0.2500  4 Lu 3.22, 4 Dy 3.22
Pb: 0.7500 0.7500 0.7500  4 Lu 3.22, 4 Dy 3.22

E ... -0.1629 hartree per atom
N(E_F) ... 3.46 states/eV per cell
ΔH_f (0 K) ... -291 meV per atom

=====

The following is a PBE-GGA calculation of DyLuAlPd after structural relaxation, from Alexandria via LeMat-Bulk.

Cell: 5.0031 5.0031 5.0031 Å, 60.00 60.00 60.00°
Closest atoms and distances in Å follow each position.
Element x y z (fractional)
Dy: 0.0000 0.0000 0.0000  4 Al 3.06, 4 Pd 3.06
Lu: 0.5000 0.5000 0.5000  4 Al 3.06, 4 Pd 3.06
Al: 0.7500 0.7500 0.7500  4 Dy 3.06, 4 Lu 3.06
Pd: 0.2500 0.2500 0.2500  4 Lu 3.06, 4 Dy 3.06

E ... -0.1879 hartree per atom
N(E_F) ... 3.42 states/eV per cell
ΔH_f (0 K) ... -599 meV per atom

=====

The following is a PBE-GGA calculation of PmDyLuAl after structural relaxation, from Alexandria via LeMat-Bulk.

Cell: 5.3527 5.3527 5.3527 Å, 60.00 60.00 60.00°
Closest atoms and distances in Å follow each position.
Element x y z (fractional)
Pm: 0.0000 0.0000 0.0000  4 Al 3.28, 4 Lu 3.28
Dy: 0.5000 0.5000 0.5000  4 Al 3.28, 4 Lu 3.28
Lu: 0.7500 0.7500 0.7500  4 Dy 3.28, 4 Pm 3.28
Al: 0.2500 0.2500 0.2500  4 Dy 3.28, 4 Pm 3.28

E ... -0.1648 hartree per atom
N(E_F) ... 6.00 states/eV per cell
ΔH_f (0 K) ... -80 meV per atom